A relaxed structure of SrPa2CoO8, computed with GGA+U.

Structure (CIF):
```
data_SrPa2CoO8
_cell_length_a 5.144
_cell_length_b 5.144
_cell_length_c 6.889
_cell_angle_alpha 90.00
_cell_angle_beta 90.00
_cell_angle_gamma 120.00
_space_group_name_H-M_alt 'P 1'
_space_group_IT_number 1
loop_
_space_group_symop_operation_xyz
'x,y,z'
loop_
_atom_site_label
_atom_site_fract_x
_atom_site_fract_y
_atom_site_fract_z
O1 0.333 0.667 0.586
O2 0.667 0.333 0.414
O3 0.339 0.170 0.848
O4 0.661 0.830 0.152
O5 0.170 0.830 0.152
O6 0.170 0.339 0.152
O7 0.830 0.661 0.848
O8 0.830 0.170 0.848
Pa1 0.333 0.667 0.864
Pa2 0.667 0.333 0.136
Co1 0.000 0.000 0.000
Sr1 0.000 0.000 0.500
```

Properties
The energy is -8.035 eV per atom. The space-group type is P-3m1, No. 164.